# 1
Crystalline Ga4FeNi7 at its relaxed geometry, computed with PBE.

Computed properties:
Energy relative to the elements, eV per formula unit: -0.457
Space-group type: C2/m (12)
DFT total energy, eV per atom: -5.12

a b c (Å): 4.360 7.878 5.255
angles (deg): 80.17 65.49 73.93
Last column: magnetic moment on the atom in μB.
Atoms (fractional coordinates):
Ga: 0.591 0.226 0.592  0.00
Ga: 0.409 0.774 0.408  0.00
Ga: 0.746 0.674 0.834  -0.01
Ga: 0.254 0.326 0.166  -0.01
Fe: 0.000 0.000 0.000  3.01
Ni: 0.789 0.918 0.504  0.14
Ni: 0.211 0.082 0.496  0.14
Ni: 0.065 0.668 0.202  0.14
Ni: 0.935 0.332 0.798  0.14
Ni: 0.361 0.524 0.755  0.00
Ni: 0.500 0.000 0.000  0.45
Ni: 0.639 0.476 0.245  0.00


# 2
Crystalline CoHgAs2Se at its relaxed geometry, computed with PBE.

Computed properties:
Formation energy from raw total energies, eV/atom: 0.324
Space-group type: P4/mmm (123)
DFT total energy, eV per atom: -3.71

a b c (Å): 4.461 4.461 5.365
angles (deg): 90.00 90.00 90.00
Atoms (fractional coordinates):
As: 0.000 0.500 0.000
As: 0.500 0.000 0.000
Co: 0.000 0.000 0.000
Hg: 0.500 0.500 0.500
Se: 0.000 0.000 0.500


no.,N(E_F) (states/eV/cell),M_tot (Bohr magnetons per cell)
1,8.438,4.0
2,2.882,0.0